This record from Alexandria via LeMat-Bulk describes a relaxed LaTiSn2I crystal. The functional is PBE-GGA.

Unit cell a=5.8353 b=5.8353 c=5.8193 alpha=90.00 beta=90.00 gamma=90.00
Element x y z (fractional)
La (0.0000, 0.0000, 0.0000)
Ti (0.5000, 0.5000, 0.0000)
Sn (0.0000, 0.5000, 0.5000)
Sn (0.5000, 0.0000, 0.5000)
I (0.0000, 0.0000, 0.5000)

Summary:
**V**: 39.63 A^3/atom
**Size of the total moment**: 2.84 μB per cell

This record from Alexandria via LeMat-Bulk describes a relaxed LaTiSnI2 crystal. The functional is PBE-GGA.

Unit cell a=6.0972 b=6.0972 c=5.5939 alpha=90.00 beta=90.00 gamma=90.00
Element x y z (fractional)
La (0.0000, 0.0000, 0.0000)
Ti (0.0000, 0.0000, 0.5000)
Sn (0.5000, 0.5000, 0.5000)
I (0.0000, 0.5000, 0.0000)
I (0.5000, 0.0000, 0.0000)

Summary:
**V**: 41.59 A^3/atom
**Size of the total moment**: 0.24 μB per cell

This record from Alexandria via LeMat-Bulk describes a relaxed LaTlSn2I8 crystal. The functional is PBE-GGA.

Unit cell a=7.4236 b=9.6060 c=7.8925 alpha=90.00 beta=90.72 gamma=90.00
Element x y z (fractional)
La (0.0000, 0.0000, 0.0000)
Tl (0.0000, 0.5000, 0.0000)
Sn (0.5000, 0.2552, 0.5000)
Sn (0.5000, 0.7448, 0.5000)
I (0.2473, 0.0000, 0.6680)
I (0.2537, 0.2318, 0.1619)
I (0.2537, 0.7682, 0.1619)
I (0.2691, 0.5000, 0.6385)
I (0.7309, 0.5000, 0.3615)
I (0.7463, 0.2318, 0.8381)
I (0.7463, 0.7682, 0.8381)
I (0.7527, 0.0000, 0.3320)

Summary:
**V**: 46.90 A^3/atom
**Size of the total moment**: 0.00 μB per cell

This record from Alexandria via LeMat-Bulk describes a relaxed SrLa3I crystal. The functional is PBE-GGA.

Unit cell a=6.0580 b=6.0580 c=6.0580 alpha=90.00 beta=90.00 gamma=90.00
Element x y z (fractional)
Sr (0.0000, 0.0000, 0.0000)
La (0.0000, 0.0000, 0.5000)
La (0.0000, 0.5000, 0.0000)
La (0.5000, 0.0000, 0.0000)
I (0.5000, 0.5000, 0.5000)

Summary:
**V**: 44.47 A^3/atom
**Size of the total moment**: 0.00 μB per cell

This record from Alexandria via LeMat-Bulk describes a relaxed SrLa2I crystal. The functional is PBE-GGA.

Unit cell a=7.6762 b=7.6762 c=7.6762 alpha=101.28 beta=101.28 gamma=127.49
Element x y z (fractional)
Sr (0.0000, 0.0000, 0.0000)
Sr (0.7500, 0.2500, 0.5000)
La (0.1780, 0.6250, 0.0530)
La (0.3750, 0.4280, 0.5530)
La (0.5720, 0.1250, 0.9470)
La (0.8750, 0.8220, 0.4470)
I (0.2500, 0.7500, 0.5000)
I (0.5000, 0.5000, 0.0000)

Summary:
**V**: 40.23 A^3/atom
**Size of the total moment**: 0.00 μB per cell

This record from Alexandria via LeMat-Bulk describes a relaxed SrLaI6 crystal. The functional is PBE-GGA.

Unit cell a=8.0575 b=8.0578 c=8.1930 alpha=61.36 beta=61.70 gamma=60.13
Element x y z (fractional)
Sr (0.0000, 0.0000, 0.0000)
La (0.5000, 0.5000, 0.5000)
I (0.0770, 0.4372, 0.7489)
I (0.2600, 0.9295, 0.2559)
I (0.4424, 0.7304, 0.7588)
I (0.5576, 0.2696, 0.2412)
I (0.7400, 0.0705, 0.7441)
I (0.9230, 0.5628, 0.2511)

Summary:
**V**: 48.12 A^3/atom
**Size of the total moment**: 0.60 μB per cell

This record from Alexandria via LeMat-Bulk describes a relaxed Sr2La2I crystal. The functional is PBE-GGA.

Unit cell a=8.6439 b=8.6439 c=6.1840 alpha=90.00 beta=90.00 gamma=90.00
Element x y z (fractional)
Sr (0.1578, 0.3422, 0.0000)
Sr (0.3422, 0.8422, 0.0000)
Sr (0.6578, 0.1578, 0.0000)
Sr (0.8422, 0.6578, 0.0000)
La (0.1263, 0.6263, 0.5000)
La (0.3737, 0.1263, 0.5000)
La (0.6263, 0.8737, 0.5000)
La (0.8737, 0.3737, 0.5000)
I (0.0000, 0.0000, 0.0000)
I (0.5000, 0.5000, 0.0000)

Summary:
**V**: 46.20 A^3/atom
**Size of the total moment**: 0.00 μB per cell

This record from Alexandria via LeMat-Bulk describes a relaxed SrLa3I crystal. The functional is PBE-GGA.

Unit cell a=6.0835 b=6.0835 c=6.0835 alpha=90.00 beta=90.00 gamma=90.00
Element x y z (fractional)
Sr (0.0000, 0.0000, 0.0000)
La (0.0000, 0.5000, 0.5000)
La (0.5000, 0.0000, 0.5000)
La (0.5000, 0.5000, 0.0000)
I (0.5000, 0.5000, 0.5000)

Summary:
**V**: 45.03 A^3/atom
**Size of the total moment**: 0.00 μB per cell

This record from Alexandria via LeMat-Bulk describes a relaxed Sr2La2I crystal. The functional is PBE-GGA.

Unit cell a=11.8332 b=11.8332 c=11.8332 alpha=158.44 beta=158.44 gamma=30.67
Element x y z (fractional)
Sr (0.1024, 0.1024, 0.0000)
Sr (0.8976, 0.8976, 0.0000)
La (0.2500, 0.7500, 0.5000)
La (0.7500, 0.2500, 0.5000)
I (0.5000, 0.5000, 0.0000)

Summary:
**V**: 44.71 A^3/atom
**Size of the total moment**: 0.00 μB per cell

This record from Alexandria via LeMat-Bulk describes a relaxed SrLa2I crystal. The functional is PBE-GGA.

Unit cell a=5.9537 b=5.9537 c=5.9537 alpha=60.00 beta=60.00 gamma=60.00
Element x y z (fractional)
Sr (0.0000, 0.0000, 0.0000)
La (0.2500, 0.2500, 0.2500)
La (0.7500, 0.7500, 0.7500)
I (0.5000, 0.5000, 0.5000)

Summary:
**V**: 37.31 A^3/atom
**Size of the total moment**: 0.00 μB per cell

This record from Alexandria via LeMat-Bulk describes a relaxed Sr2La2I crystal. The functional is PBE-GGA.

Unit cell a=8.3272 b=8.3272 c=6.6218 alpha=90.00 beta=90.00 gamma=90.00
Element x y z (fractional)
Sr (0.1623, 0.3377, 0.0000)
Sr (0.3377, 0.8377, 0.0000)
Sr (0.6623, 0.1623, 0.0000)
Sr (0.8377, 0.6623, 0.0000)
La (0.1415, 0.6415, 0.5000)
La (0.3585, 0.1415, 0.5000)
La (0.6415, 0.8585, 0.5000)
La (0.8585, 0.3585, 0.5000)
I (0.0000, 0.0000, 0.5000)
I (0.5000, 0.5000, 0.5000)

Summary:
**V**: 45.92 A^3/atom
**Size of the total moment**: 0.00 μB per cell

This record from Alexandria via LeMat-Bulk describes a relaxed SrLaVI2 crystal. The functional is PBE-GGA.

Unit cell a=5.6451 b=5.6451 c=5.1374 alpha=90.00 beta=90.00 gamma=90.00
Element x y z (fractional)
Sr (0.0000, 0.0000, 0.0000)
La (0.5000, 0.5000, 0.0000)
V (0.5000, 0.5000, 0.5000)
I (0.0000, 0.5000, 0.5000)
I (0.5000, 0.0000, 0.5000)

Summary:
**V**: 32.74 A^3/atom
**Size of the total moment**: 0.94 μB per cell

This record from Alexandria via LeMat-Bulk describes a relaxed Sr2LaZrI crystal. The functional is PBE-GGA.

Unit cell a=6.0520 b=6.0520 c=6.0875 alpha=90.00 beta=90.00 gamma=90.00
Element x y z (fractional)
Sr (0.0000, 0.5000, 0.0000)
Sr (0.5000, 0.0000, 0.0000)
La (0.0000, 0.0000, 0.5000)
Zr (0.5000, 0.5000, 0.5000)
I (0.0000, 0.0000, 0.0000)

Summary:
**V**: 44.59 A^3/atom
**Size of the total moment**: 3.67 μB per cell

This record from Alexandria via LeMat-Bulk describes a relaxed La2TaI crystal. The functional is PBE-GGA.

Unit cell a=5.4780 b=5.4780 c=5.4780 alpha=60.00 beta=60.00 gamma=60.00
Element x y z (fractional)
La (0.2500, 0.2500, 0.2500)
La (0.7500, 0.7500, 0.7500)
Ta (0.0000, 0.0000, 0.0000)
I (0.5000, 0.5000, 0.5000)

Summary:
**V**: 29.06 A^3/atom
**Size of the total moment**: 0.71 μB per cell

This record from Alexandria via LeMat-Bulk describes a relaxed LaTaI3 crystal. The functional is PBE-GGA.

Unit cell a=5.5396 b=5.5396 c=5.5396 alpha=90.00 beta=90.00 gamma=90.00
Element x y z (fractional)
La (0.0000, 0.0000, 0.0000)
Ta (0.5000, 0.5000, 0.5000)
I (0.0000, 0.5000, 0.5000)
I (0.5000, 0.0000, 0.5000)
I (0.5000, 0.5000, 0.0000)

Summary:
**V**: 34.00 A^3/atom
**Size of the total moment**: 2.64 μB per cell

This record from Alexandria via LeMat-Bulk describes a relaxed La2TaI crystal. The functional is PBE-GGA.

Unit cell a=6.8714 b=6.8714 c=6.8714 alpha=104.52 beta=104.52 gamma=119.90
Element x y z (fractional)
La (0.0931, 0.6250, 0.9681)
La (0.3750, 0.3431, 0.4681)
La (0.6569, 0.1250, 0.0319)
La (0.8750, 0.9069, 0.5319)
Ta (0.0000, 0.0000, 0.0000)
Ta (0.7500, 0.2500, 0.5000)
I (0.2500, 0.7500, 0.5000)
I (0.5000, 0.5000, 0.0000)

Summary:
**V**: 30.43 A^3/atom
**Size of the total moment**: 0.77 μB per cell

This record from Alexandria via LeMat-Bulk describes a relaxed La3TaI crystal. The functional is PBE-GGA.

Unit cell a=5.7359 b=5.7359 c=5.7359 alpha=90.00 beta=90.00 gamma=90.00
Element x y z (fractional)
La (0.0000, 0.0000, 0.5000)
La (0.0000, 0.5000, 0.0000)
La (0.5000, 0.0000, 0.0000)
Ta (0.0000, 0.0000, 0.0000)
I (0.5000, 0.5000, 0.5000)

Summary:
**V**: 37.74 A^3/atom
**Size of the total moment**: 0.00 μB per cell

This record from Alexandria via LeMat-Bulk describes a relaxed LaTa3I crystal. The functional is PBE-GGA.

Unit cell a=5.0916 b=5.0916 c=5.0916 alpha=90.00 beta=90.00 gamma=90.00
Element x y z (fractional)
La (0.0000, 0.0000, 0.0000)
Ta (0.0000, 0.0000, 0.5000)
Ta (0.0000, 0.5000, 0.0000)
Ta (0.5000, 0.0000, 0.0000)
I (0.5000, 0.5000, 0.5000)

Summary:
**V**: 26.40 A^3/atom
**Size of the total moment**: 0.00 μB per cell

This record from Alexandria via LeMat-Bulk describes a relaxed LaTa3I crystal. The functional is PBE-GGA.

Unit cell a=5.1005 b=5.1005 c=5.1005 alpha=90.00 beta=90.00 gamma=90.00
Element x y z (fractional)
La (0.0000, 0.0000, 0.0000)
Ta (0.0000, 0.5000, 0.5000)
Ta (0.5000, 0.0000, 0.5000)
Ta (0.5000, 0.5000, 0.0000)
I (0.5000, 0.5000, 0.5000)

Summary:
**V**: 26.54 A^3/atom
**Size of the total moment**: 0.00 μB per cell

This record from Alexandria via LeMat-Bulk describes a relaxed LaYTaI2 crystal. The functional is PBE-GGA.

Unit cell a=5.7421 b=5.7421 c=5.2923 alpha=90.00 beta=90.00 gamma=90.00
Element x y z (fractional)
La (0.0000, 0.0000, 0.0000)
Y (0.5000, 0.5000, 0.5000)
Ta (0.5000, 0.5000, 0.0000)
I (0.0000, 0.5000, 0.5000)
I (0.5000, 0.0000, 0.5000)

Summary:
**V**: 34.90 A^3/atom
**Size of the total moment**: 0.00 μB per cell

Number 1: raw formation energy 0.85 eV/atom. Number 2: raw formation energy 0.53 eV/atom. Number 3: raw formation energy -0.83 eV/atom. Number 4: raw formation energy 0.71 eV/atom. Number 5: raw formation energy -0.22 eV/atom. Number 6: raw formation energy -1.25 eV/atom. Number 7: raw formation energy -0.06 eV/atom. Number 8: raw formation energy -0.13 eV/atom. Number 9: raw formation energy -0.18 eV/atom. Number 10: raw formation energy 0.00 eV/atom. Number 11: raw formation energy -0.18 eV/atom. Number 12: raw formation energy 0.00 eV/atom. Number 13: raw formation energy 0.41 eV/atom. Number 14: raw formation energy 0.34 eV/atom. Number 15: raw formation energy 0.22 eV/atom. Number 16: raw formation energy 0.45 eV/atom. Number 17: raw formation energy 0.20 eV/atom. Number 18: raw formation energy 2.41 eV/atom. Number 19: raw formation energy 1.56 eV/atom. Number 20: raw formation energy 0.58 eV/atom.